! PBE-GGA Li8Au3N, optimized geometry; values from VASP
! E in eV per atom: -3.193
! Symmetry: P6_3mc, No. 186
! Total moment in μB/f.u.: 0.000
! DOS at the Fermi energy in states/eV/atom: 0.263
! Crystal system: hexagonal
&SYSTEM
  ibrav = 0, nat = 24, ntyp = 3
/
ATOMIC_SPECIES
N 14.01 N.upf
Li 6.94 Li.upf
Au 196.97 Au.upf
ATOMIC_POSITIONS crystal
N 0.710 0.667 0.333
Li 0.985 0.000 0.000
Li 0.544 0.333 0.667
Au 0.223 0.320 0.160
Li 0.497 0.556 0.444
Li 0.997 0.444 0.556
Li 0.291 0.199 0.801
Li 0.044 0.667 0.333
Li 0.791 0.398 0.199
Au 0.223 0.840 0.160
Li 0.791 0.801 0.602
Li 0.291 0.602 0.801
Au 0.223 0.840 0.680
Li 0.497 0.889 0.444
Au 0.723 0.160 0.320
Li 0.497 0.556 0.111
Li 0.997 0.444 0.889
N 0.210 0.333 0.667
Li 0.791 0.801 0.199
Li 0.997 0.111 0.556
Au 0.723 0.680 0.840
Li 0.485 0.000 0.000
Li 0.291 0.199 0.398
Au 0.723 0.160 0.840
CELL_PARAMETERS angstrom
6.113 0.000 0.000
0.000 7.117 -4.109
0.000 0.000 8.219

! PBE-GGA Li10Au6N, optimized geometry; values from VASP
! E in eV per atom: -3.177
! Symmetry: P-31m, No. 162
! Total moment in μB/f.u.: 0.000
! DOS at the Fermi energy in states/eV/atom: 0.323
! Crystal system: trigonal
&SYSTEM
  ibrav = 0, nat = 17, ntyp = 3
/
ATOMIC_SPECIES
Li 6.94 Li.upf
N 14.01 N.upf
Au 196.97 Au.upf
ATOMIC_POSITIONS crystal
Li 0.000 0.333 0.667
Li 0.000 0.667 0.333
N 0.500 0.000 0.000
Li 0.702 0.216 0.000
Li 0.500 0.333 0.667
Au 0.753 0.432 0.432
Li 0.298 0.784 0.000
Li 0.702 0.784 0.784
Au 0.753 0.000 0.568
Li 0.298 0.216 0.216
Au 0.247 0.432 0.000
Li 0.500 0.667 0.333
Li 0.702 0.000 0.216
Au 0.247 0.000 0.432
Au 0.753 0.568 0.000
Au 0.247 0.568 0.568
Li 0.298 0.000 0.784
CELL_PARAMETERS angstrom
-2.427 0.533 4.716
-2.528 -7.276 -0.479
6.798 1.513 3.327

! PBE-GGA LiAuN, optimized geometry; values from VASP
! E in eV per atom: -4.628
! Symmetry: C2/m, No. 12
! Total moment in μB/f.u.: 0.000
! DOS at the Fermi energy in states/eV/atom: 0.100
! Relative energy among the computed polymorphs in eV/atom: 0.1515
! Crystal system: monoclinic
&SYSTEM
  ibrav = 0, nat = 6, ntyp = 3
/
ATOMIC_SPECIES
Li 6.94 Li.upf
Au 196.97 Au.upf
N 14.01 N.upf
ATOMIC_POSITIONS crystal
Li 0.289 0.289 0.580
Li 0.711 0.711 0.420
Au 0.169 0.169 0.335
Au 0.831 0.831 0.665
N 0.613 0.387 0.000
N 0.387 0.613 0.000
CELL_PARAMETERS angstrom
3.404 -0.622 -0.462
0.602 3.407 -0.462
-0.296 -0.206 11.133

! PBE-GGA Li3AuN, optimized geometry; values from VASP
! E in eV per atom: -3.710
! Symmetry: Pm-3m, No. 221
! Total moment in μB/f.u.: 0.000
! DOS at the Fermi energy in states/eV/atom: 0.465
! Relative energy among the computed polymorphs in eV/atom: 0.0000
! Crystal system: cubic
&SYSTEM
  ibrav = 0, nat = 5, ntyp = 3
/
ATOMIC_SPECIES
Li 6.94 Li.upf
Au 196.97 Au.upf
N 14.01 N.upf
ATOMIC_POSITIONS crystal
Li 0.500 0.000 0.000
Au 0.500 0.500 0.500
N 0.000 0.000 0.000
Li 0.000 0.000 0.500
Li 0.000 0.500 0.000
CELL_PARAMETERS angstrom
-1.043 -3.814 0.407
3.477 -0.762 1.769
-1.619 0.820 3.536